BeInAs2 | PBE-GGA | optimized geometry

**V**: 19.688 Å³ per atom
**Energy of formation**: 235 meV/atom
**Calculated total energy**: -29.6 eV for the cell shown

Lattice parameters (Å, degrees): 3.6848 5.1583 8.2864 90.00 90.00 90.00
Space group Cmmm (No. 65)
Unique sites:
Be1 0.0000 0.0000 0.0000 [2 per cell]
In1 0.0000 0.0000 0.5000 [2 per cell]
As1 0.0000 0.5000 0.1716 [4 per cell]

HoAl2AgAu4 | PBE-GGA | optimized geometry

**V**: 19.030 Å³ per atom
**Energy of formation**: -449 meV/atom
**Calculated total energy**: -94.8 eV for the cell shown

Lattice parameters (Å, degrees): 4.4983 4.4983 26.0635 90.00 90.00 120.00
Space group R-3m (No. 166, hexagonal axes)
Unique sites:
Ho1 0.0000 0.0000 0.0000 [3 per cell]
Al1 0.0000 0.0000 0.2421 [6 per cell]
Ag1 0.0000 0.0000 0.5000 [3 per cell]
Au1 0.0000 0.0000 0.1216 [6 per cell]
Au2 0.0000 0.0000 0.3908 [6 per cell]

no.,magnetic moment (μB/cell)
1,0.00
2,0.00